An optimized crystal structure of PaBeTc2, computed with PBE-GGA.

Cell: 4.483 4.483 4.483 Å, 60.00 60.00 60.00°
Atoms (fractional coordinates):
Be1 0.500 0.500 0.500
Tc1 0.250 0.250 0.250
Tc2 0.750 0.750 0.750
Pa1 0.000 0.000 0.000

Summary:
* ρ: 11.4 g cm⁻³
* calculated total energy: -8.542 eV/atom
* relative energy among the computed polymorphs: 49 meV per atom
* magnetization: 0.00 μB per atom
* symmetry: Fm-3m, No. 225